Record 1
Below is an optimized crystal structure of LaTlHg, with properties calculated at the PBE level.

## Properties
Symmetry: Imm2, No. 44
Final energy, eV per atom: -2.82
Size of the total moment, μB per formula unit: 0.00
Energy of formation from the pure elements, eV/atom: -0.29

Cell lengths 5.762, 5.762, 5.762 Å; angles 142.03, 130.61, 63.94 degrees
Fractional positions:
Hg: 0.998 0.998 0.000
La: 0.333 0.333 0.000
Tl: 0.669 0.669 0.000



Record 2
Below is an optimized crystal structure of LaTlHg, with properties calculated at the PBE level.

## Properties
Symmetry: P2/m, No. 10
Final energy, eV per atom: -2.93
Size of the total moment, μB per formula unit: 0.00
Energy of formation from the pure elements, eV/atom: -0.40

Cell lengths 8.876, 5.098, 3.805 Å; angles 90.00, 89.63, 90.00 degrees
Fractional positions:
Tl: 0.735 0.054 0.854
Tl: 0.397 0.054 0.992
Hg: 0.229 0.554 0.879
Hg: 0.903 0.554 0.967
La: 0.566 0.554 0.423
La: 0.066 0.054 0.423



Record 3
Below is an optimized crystal structure of La5Tl2Hg2, with properties calculated at the PBE level.

## Properties
Symmetry: Cmce, No. 64
Final energy, eV per atom: -3.71
Size of the total moment, μB per formula unit: 0.00
Energy of formation from the pure elements, eV/atom: -0.38

Cell lengths 8.306, 8.481, 9.475 Å; angles 116.59, 90.00, 90.00 degrees
Fractional positions:
La: 0.000 0.000 0.000
La: 0.500 0.500 0.000
La: 0.831 0.826 0.284
La: 0.169 0.458 0.284
La: 0.331 0.958 0.284
La: 0.669 0.326 0.284
La: 0.169 0.174 0.716
La: 0.831 0.542 0.716
La: 0.669 0.042 0.716
La: 0.331 0.674 0.716
Tl: 0.625 0.873 0.000
Tl: 0.375 0.127 0.000
Tl: 0.125 0.627 0.000
Tl: 0.875 0.373 0.000
Hg: 0.000 0.209 0.418
Hg: 0.500 0.709 0.418
Hg: 0.000 0.791 0.582
Hg: 0.500 0.291 0.582



Record 4
Below is an optimized crystal structure of LaTlHg, with properties calculated at the PBE level.

## Properties
Symmetry: F-43m, No. 216
Final energy, eV per atom: -2.93
Size of the total moment, μB per formula unit: 0.00
Energy of formation from the pure elements, eV/atom: -0.40

Cell lengths 5.100, 5.100, 5.100 Å; angles 60.00, 60.00, 60.00 degrees
Fractional positions:
Tl: 0.500 0.500 0.500
Hg: 0.750 0.750 0.750
La: 0.000 0.000 0.000



Record 5
Below is an optimized crystal structure of La2TlHg, with properties calculated at the PBE level.

## Properties
Symmetry: R-3m, No. 166
Final energy, eV per atom: -3.42
Size of the total moment, μB per formula unit: 0.00
Energy of formation from the pure elements, eV/atom: -0.29

Cell lengths 10.087, 10.087, 10.087 Å; angles 22.63, 22.63, 22.63 degrees
Fractional positions:
Hg: 0.750 0.750 0.750
La: 0.002 0.002 0.002
La: 0.498 0.498 0.498
Tl: 0.250 0.250 0.250



Record 6
Below is an optimized crystal structure of LaTlHg, with properties calculated at the PBE level.

## Properties
Symmetry: P4/nmm, No. 129
Final energy, eV per atom: -2.90
Size of the total moment, μB per formula unit: 0.11
Energy of formation from the pure elements, eV/atom: -0.37

Cell lengths 4.794, 4.794, 7.825 Å; angles 90.00, 90.00, 90.00 degrees
Fractional positions:
Tl: 0.000 0.000 0.500
Tl: 0.500 0.500 0.500
Hg: 0.000 0.500 0.777
Hg: 0.500 0.000 0.223
La: 0.000 0.500 0.185
La: 0.500 0.000 0.815



Record 7
Below is an optimized crystal structure of La3Tl4Hg4, with properties calculated at the PBE level.

## Properties
Symmetry: P-1, No. 2
Final energy, eV per atom: -2.62
Size of the total moment, μB per formula unit: 0.00
Energy of formation from the pure elements, eV/atom: -0.31

Cell lengths 3.853, 5.204, 16.074 Å; angles 80.61, 82.84, 90.03 degrees
Fractional positions:
La: 0.159 0.640 0.723
La: 0.841 0.360 0.277
La: 0.000 0.000 0.000
Tl: 0.520 0.093 0.816
Tl: 0.297 0.264 0.470
Tl: 0.704 0.736 0.530
Tl: 0.480 0.907 0.184
Hg: 0.606 0.547 0.908
Hg: 0.394 0.453 0.092
Hg: 0.206 0.815 0.366
Hg: 0.794 0.185 0.634



Record 8
Below is an optimized crystal structure of LaTlHg, with properties calculated at the PBE level.

## Properties
Symmetry: Cm, No. 8
Final energy, eV per atom: -2.94
Size of the total moment, μB per formula unit: 0.00
Energy of formation from the pure elements, eV/atom: -0.41

Cell lengths 6.415, 6.418, 5.037 Å; angles 66.93, 113.08, 104.99 degrees
Fractional positions:
Tl: 0.201 0.249 0.278
Tl: 0.860 0.593 0.935
Hg: 0.617 0.673 0.274
Hg: 0.286 0.008 0.940
La: 0.247 0.637 0.607
La: 0.740 0.131 0.606